No. 1
## Er4Ag2Au (GGA-PBE)

Data for a relaxed Er4Ag2Au crystal.

Lattice parameters (Å, degrees): 5.024 5.024 8.731 73.28 73.28 60.00
Positions (direct):
Er: 0.125 0.125 0.625
Er: 0.875 0.875 0.375
Ag: 0.752 0.752 0.743
Er: 0.375 0.375 0.874
Au: 0.000 0.000 0.000
Ag: 0.248 0.248 0.257
Er: 0.625 0.625 0.126

## Properties
The calculation puts the size of the total moment at 0.0 μB/f.u. The value obtained for the raw total energy is -4.232 eV per atom. The formation enthalpy at 0 K is -0.34 eV per atom.

***

No. 2
## HfMg14Mo (GGA-PBE)

Data for a relaxed HfMg14Mo crystal.

Lattice parameters (Å, degrees): 6.354 6.354 10.199 90.00 90.00 122.98
Positions (direct):
Mo: 0.829 0.171 0.500
Mg: 0.671 0.837 0.259
Mg: 0.163 0.329 0.741
Mg: 0.173 0.827 0.753
Mg: 0.831 0.678 0.500
Hf: 0.326 0.674 0.500
Mg: 0.678 0.322 0.735
Mg: 0.163 0.329 0.259
Mg: 0.830 0.170 0.000
Mg: 0.322 0.169 0.500
Mg: 0.333 0.171 0.000
Mg: 0.678 0.322 0.265
Mg: 0.173 0.827 0.247
Mg: 0.334 0.666 0.000
Mg: 0.829 0.667 0.000
Mg: 0.671 0.837 0.741

## Properties
The calculation puts the size of the total moment at 0.0 μB/f.u. The relative energy among the computed polymorphs comes out at 0.0 meV per atom. The value obtained for the raw total energy is -2.587 eV per atom. The formation enthalpy at 0 K is 0.11 eV per atom.

***

No. 3
## BiTe2Mo (GGA-PBE)

Data for a relaxed BiTe2Mo crystal.

Lattice parameters (Å, degrees): 12.846 12.846 12.846 14.29 14.29 14.29
Positions (direct):
Te: 0.070 0.070 0.070
Bi: 0.500 0.500 0.500
Mo: 0.000 0.000 0.000
Te: 0.930 0.930 0.930

## Properties
The calculation puts the size of the total moment at 0.0 μB/f.u. Its formation energy (no corrections) is 0.729 eV per atom. The value obtained for the raw total energy is -4.520 eV per atom.

***

No. 4
## Ce4CdPt2 (GGA-PBE)

Data for a relaxed Ce4CdPt2 crystal.

Lattice parameters (Å, degrees): 4.194 4.194 13.079 80.77 80.77 60.00
Each line ends with the local moment (μB).
Positions (direct):
Cd: 0.000 0.000 0.000  0.01
Pt: 0.899 0.899 0.303  -0.02
Ce: 0.192 0.192 0.424  0.67
Ce: 0.393 0.393 0.820  0.79
Ce: 0.607 0.607 0.180  0.79
Pt: 0.101 0.101 0.697  -0.02
Ce: 0.808 0.808 0.576  0.67

## Properties
The calculation puts the size of the total moment at 3.5 μB/f.u. The value obtained for the raw total energy is -5.781 eV per atom. The formation enthalpy at 0 K is -0.53 eV per atom.

***

Please write out number 4 again, unchanged.
## Ce4CdPt2 (GGA-PBE)

Data for a relaxed Ce4CdPt2 crystal.

Lattice parameters (Å, degrees): 4.194 4.194 13.079 80.77 80.77 60.00
Each line ends with the local moment (μB).
Positions (direct):
Cd: 0.000 0.000 0.000  0.01
Pt: 0.899 0.899 0.303  -0.02
Ce: 0.192 0.192 0.424  0.67
Ce: 0.393 0.393 0.820  0.79
Ce: 0.607 0.607 0.180  0.79
Pt: 0.101 0.101 0.697  -0.02
Ce: 0.808 0.808 0.576  0.67

## Properties
The calculation puts the size of the total moment at 3.5 μB/f.u. The value obtained for the raw total energy is -5.781 eV per atom. The formation enthalpy at 0 K is -0.53 eV per atom.